FeReIN2: relaxed, PBE.

Summary:
* calculated total energy: -34.49 eV per cell
* energy above the lowest structure with this stoichiometry: 0.0000 eV/atom
* ρ: 7.53 Mg/m³
* ΔE_f (raw): 21.30 kcal/mol of atoms

a = 3.859 Å, b = 3.859 Å, c = 5.876 Å
α = 90.00°, β = 90.00°, γ = 90.00°
Fractional positions:
1 I 0.000 0.000 0.500
2 Re 0.000 0.000 0.000
3 Fe 0.500 0.500 0.500
4 N 0.000 0.500 0.000
5 N 0.500 0.000 0.000

***

Na2SnWI: relaxed, PBE.

Summary:
* calculated total energy: -14.04 eV per cell
* ρ: 3.69 Mg/m³
* ΔE_f (raw): 32.77 kcal/mol of atoms

a = 5.942 Å, b = 6.062 Å, c = 5.942 Å
α = 90.00°, β = 90.00°, γ = 90.00°
Fractional positions:
1 I 0.000 0.500 0.000
2 Na 0.000 0.000 0.500
3 Na 0.500 0.000 0.000
4 Sn 0.000 0.000 0.000
5 W 0.500 0.500 0.500

***

Cr2Tc: relaxed, PBE.

Summary:
* ΔE_f: 12 kJ/mol of formula units
* calculated total energy: -58.98 eV per cell
* energy above the lowest structure with this stoichiometry: 0.0164 eV/atom
* ρ: 8.84 Mg/m³

a = 2.918 Å, b = 4.858 Å, c = 5.951 Å
α = 71.52°, β = 90.00°, γ = 107.48°
Fractional positions:
1 Cr 0.025 0.050 0.927
2 Cr 0.692 0.383 0.620
3 Cr 0.364 0.728 0.769
4 Cr 0.031 0.062 0.462
5 Tc 0.366 0.732 0.284
6 Tc 0.689 0.379 0.105

***

AlIn3Co: relaxed, PBE.

Summary:
* ΔE_f: 463 kJ/mol of formula units
* calculated total energy: -14.27 eV per cell
* energy above the lowest structure with this stoichiometry: 0.7303 eV/atom
* ρ: 4.89 Mg/m³

a = 5.268 Å, b = 5.268 Å, c = 5.268 Å
α = 90.00°, β = 90.00°, γ = 90.00°
Fractional positions:
1 Co 0.500 0.500 0.500
2 Al 0.000 0.000 0.000
3 In 0.000 0.500 0.000
4 In 0.000 0.000 0.500
5 In 0.500 0.000 0.000

***

LiInBr2: relaxed, PBE.

Summary:
* calculated total energy: -12.14 eV per cell
* energy above the lowest structure with this stoichiometry: 0.0302 eV/atom
* ρ: 3.33 Mg/m³
* ΔE_f (raw): -23.87 kcal/mol of atoms

a = 4.389 Å, b = 4.841 Å, c = 6.617 Å
α = 89.93°, β = 90.00°, γ = 90.00°
Fractional positions:
1 Li 0.500 0.967 0.796
2 Br 0.000 0.746 0.884
3 Br 0.500 0.139 0.440
4 In 0.000 0.648 0.379

***

Bi3PO: relaxed, PBE.

Summary:
* calculated total energy: -20.95 eV per cell
* energy above the lowest structure with this stoichiometry: 0.0000 eV/atom
* ρ: 9.33 Mg/m³
* ΔE_f (raw): 4.89 kcal/mol of atoms

a = 4.932 Å, b = 4.932 Å, c = 4.932 Å
α = 90.00°, β = 90.00°, γ = 90.00°
Fractional positions:
1 P 0.500 0.500 0.500
2 Bi 0.000 0.500 0.000
3 Bi 0.000 0.000 0.500
4 Bi 0.500 0.000 0.000
5 O 0.000 0.000 0.000

***

KSr2CdCu: relaxed, PBE.

Summary:
* ΔE_f: 12 kJ/mol of formula units
* calculated total energy: -9.35 eV per cell
* ρ: 3.31 Mg/m³

a = 6.111 Å, b = 6.111 Å, c = 5.238 Å
α = 90.00°, β = 90.00°, γ = 90.00°
Fractional positions:
1 Sr 0.000 0.500 0.000
2 Sr 0.500 0.000 0.000
3 K 0.500 0.500 0.500
4 Cu 0.000 0.000 0.000
5 Cd 0.000 0.000 0.500

***

CrTe2RhN: relaxed, PBE.

Summary:
* calculated total energy: -27.15 eV per cell
* energy above the lowest structure with this stoichiometry: 0.5566 eV/atom
* ρ: 6.66 Mg/m³
* ΔE_f (raw): 20.45 kcal/mol of atoms

a = 5.401 Å, b = 5.401 Å, c = 3.624 Å
α = 90.00°, β = 90.00°, γ = 90.00°
Fractional positions:
1 Cr 0.500 0.500 0.500
2 Te 0.000 0.500 0.000
3 Te 0.500 0.000 0.000
4 Rh 0.000 0.000 0.000
5 N 0.000 0.000 0.500

***

MnGaCoRuS: relaxed, PBE.

Summary:
* calculated total energy: -67.54 eV per cell
* energy above the lowest structure with this stoichiometry: 0.0220 eV/atom
* ρ: 8.02 Mg/m³
* ΔE_f (raw): -4.92 kcal/mol of atoms

a = 3.184 Å, b = 3.140 Å, c = 13.124 Å
α = 90.00°, β = 90.00°, γ = 90.00°
Fractional positions:
1 Ru 0.500 0.000 0.846
2 Ru 0.500 0.500 0.346
3 S 0.500 0.000 0.029
4 S 0.500 0.500 0.529
5 Mn 0.000 0.000 0.468
6 Mn 0.000 0.500 0.968
7 Co 0.500 0.000 0.642
8 Co 0.500 0.500 0.142
9 Ga 0.000 0.000 0.243
10 Ga 0.000 0.500 0.743

***

Pm2Nd4SmHo2: relaxed, PBE.

Summary:
* ΔE_f: 15 kJ/mol of formula units
* calculated total energy: -42.29 eV per cell
* ρ: 7.33 Mg/m³

a = 5.144 Å, b = 8.135 Å, c = 8.107 Å
α = 107.55°, β = 90.00°, γ = 108.43°
Fractional positions:
1 Pm 0.888 0.777 0.331
2 Pm 0.112 0.223 0.669
3 Nd 0.778 0.556 0.670
4 Nd 0.222 0.444 0.330
5 Nd 0.555 0.110 0.331
6 Nd 0.445 0.890 0.669
7 Sm 0.000 0.000 0.000
8 Ho 0.332 0.665 0.000
9 Ho 0.668 0.335 0.000

***

PrEr2Ga2Pt7: relaxed, PBE.

Summary:
* ΔE_f: -1051 kJ/mol of formula units
* calculated total energy: -73.14 eV per cell
* ρ: 14.15 Mg/m³

a = 4.075 Å, b = 4.075 Å, c = 14.224 Å
α = 82.81°, β = 82.81°, γ = 89.28°
Fractional positions:
1 Pr 0.000 0.000 0.000
2 Er 0.862 0.862 0.360
3 Er 0.138 0.138 0.640
4 Ga 0.615 0.615 0.736
5 Ga 0.385 0.385 0.264
6 Pt 0.500 0.500 0.000
7 Pt 0.349 0.349 0.437
8 Pt 0.651 0.651 0.563
9 Pt 0.929 0.430 0.162
10 Pt 0.430 0.929 0.162
11 Pt 0.570 0.071 0.838
12 Pt 0.071 0.570 0.838

***

YAuSe2: relaxed, PBE.

Summary:
* calculated total energy: -42.37 eV per cell
* ρ: 7.12 Mg/m³
* ΔE_f (raw): -25.80 kcal/mol of atoms

a = 13.435 Å, b = 5.807 Å, c = 5.807 Å
α = 88.71°, β = 128.44°, γ = 51.56°
Fractional positions:
1 Y 0.192 0.752 0.514
2 Y 0.692 0.986 0.748
3 Au 0.442 0.868 0.631
4 Au 0.942 0.869 0.632
5 Se 0.158 0.301 0.515
6 Se 0.658 0.985 0.199
7 Se 0.226 0.753 0.063
8 Se 0.726 0.437 0.747

***

SrTa2Cr: relaxed, PBE.

Summary:
* ΔE_f: 295 kJ/mol of formula units
* calculated total energy: -31.96 eV per cell
* energy above the lowest structure with this stoichiometry: 0.1735 eV/atom
* ρ: 10.35 Mg/m³

a = 2.951 Å, b = 2.951 Å, c = 9.818 Å
α = 90.00°, β = 90.00°, γ = 109.80°
Fractional positions:
1 Cr 0.000 0.000 0.460
2 Sr 0.500 0.500 0.728
3 Ta 0.000 0.000 0.040
4 Ta 0.500 0.500 0.272

***

BeHgPt3: relaxed, PBE.

Summary:
* ΔE_f: -147 kJ/mol of formula units
* calculated total energy: -47.34 eV per cell
* energy above the lowest structure with this stoichiometry: 0.0000 eV/atom
* ρ: 17.29 Mg/m³

a = 9.646 Å, b = 2.852 Å, c = 6.298 Å
α = 116.98°, β = 82.48°, γ = 90.08°
Fractional positions:
1 Be 0.248 0.533 0.483
2 Be 0.249 0.032 0.981
3 Hg 0.839 0.136 0.585
4 Hg 0.875 0.123 0.077
5 Pt 0.616 0.943 0.893
6 Pt 0.398 0.245 0.695
7 Pt 0.400 0.744 0.194
8 Pt 0.102 0.317 0.767
9 Pt 0.104 0.819 0.270
10 Pt 0.615 0.441 0.390

***

Hg2PtF6: relaxed, PBE.

Summary:
* calculated total energy: -59.53 eV per cell
* energy above the lowest structure with this stoichiometry: 0.0000 eV/atom
* ρ: 6.50 Mg/m³
* ΔE_f (raw): -30.48 kcal/mol of atoms

a = 6.125 Å, b = 6.125 Å, c = 9.675 Å
α = 90.00°, β = 90.00°, γ = 90.00°
Fractional positions:
1 Hg 0.000 0.000 0.364
2 Hg 0.500 0.500 0.864
3 Hg 0.500 0.500 0.136
4 Hg 0.000 0.000 0.636
5 Pt 0.000 0.000 0.000
6 Pt 0.500 0.500 0.500
7 F 0.349 0.349 0.347
8 F 0.651 0.651 0.347
9 F 0.151 0.849 0.847
10 F 0.849 0.151 0.847
11 F 0.151 0.849 0.153
12 F 0.849 0.151 0.153
13 F 0.349 0.349 0.653
14 F 0.651 0.651 0.653
15 F 0.229 0.229 0.000
16 F 0.771 0.771 0.000
17 F 0.271 0.729 0.500
18 F 0.729 0.271 0.500

***

Y2InPd9: relaxed, PBE.

Summary:
* ΔE_f: -824 kJ/mol of formula units
* calculated total energy: -70.94 eV per cell
* ρ: 10.02 Mg/m³

a = 4.117 Å, b = 4.117 Å, c = 12.228 Å
α = 90.00°, β = 90.00°, γ = 90.00°
Fractional positions:
1 Y 0.000 0.000 0.329
2 Y 0.000 0.000 0.671
3 In 0.000 0.000 0.000
4 Pd 0.500 0.500 0.000
5 Pd 0.500 0.500 0.331
6 Pd 0.500 0.500 0.669
7 Pd 0.500 0.000 0.160
8 Pd 0.500 0.000 0.500
9 Pd 0.500 0.000 0.840
10 Pd 0.000 0.500 0.160
11 Pd 0.000 0.500 0.500
12 Pd 0.000 0.500 0.840

***

Ti12Sn6W: relaxed, PBE.

Summary:
* ΔE_f: -241 kJ/mol of formula units
* calculated total energy: -134.20 eV per cell
* ρ: 6.86 Mg/m³

a = 7.091 Å, b = 7.091 Å, c = 7.091 Å
α = 91.85°, β = 91.85°, γ = 91.85°
Fractional positions:
1 Ti 0.792 0.530 0.449
2 Ti 0.449 0.792 0.530
3 Ti 0.530 0.449 0.792
4 Ti 0.208 0.470 0.551
5 Ti 0.551 0.208 0.470
6 Ti 0.470 0.551 0.208
7 Ti 0.056 0.143 0.367
8 Ti 0.857 0.633 0.944
9 Ti 0.633 0.944 0.857
10 Ti 0.944 0.857 0.633
11 Ti 0.143 0.367 0.056
12 Ti 0.367 0.056 0.143
13 Sn 0.715 0.880 0.265
14 Sn 0.735 0.285 0.120
15 Sn 0.120 0.735 0.285
16 Sn 0.285 0.120 0.735
17 Sn 0.265 0.715 0.880
18 Sn 0.880 0.265 0.715
19 W 0.000 0.000 0.000

***

LiTm2In9: relaxed, PBE.

Summary:
* ΔE_f: -324 kJ/mol of formula units
* calculated total energy: -38.86 eV per cell
* ρ: 7.85 Mg/m³

a = 4.598 Å, b = 4.598 Å, c = 13.791 Å
α = 90.00°, β = 90.00°, γ = 90.00°
Fractional positions:
1 Li 0.000 0.000 0.000
2 Tm 0.000 0.000 0.330
3 Tm 0.000 0.000 0.670
4 In 0.500 0.500 0.000
5 In 0.500 0.500 0.333
6 In 0.500 0.500 0.667
7 In 0.500 0.000 0.160
8 In 0.500 0.000 0.500
9 In 0.500 0.000 0.840
10 In 0.000 0.500 0.160
11 In 0.000 0.500 0.500
12 In 0.000 0.500 0.840

***

LaSc2Ir: relaxed, PBE.

Summary:
* ΔE_f: -73 kJ/mol of formula units
* calculated total energy: -27.21 eV per cell
* energy above the lowest structure with this stoichiometry: 0.3021 eV/atom
* ρ: 7.76 Mg/m³

a = 5.958 Å, b = 5.958 Å, c = 5.958 Å
α = 139.02°, β = 139.02°, γ = 59.35°
Fractional positions:
1 Ir 0.250 0.750 0.500
2 La 0.750 0.250 0.500
3 Sc 0.000 0.000 0.000
4 Sc 0.500 0.500 0.000

***

CeTmAg3: relaxed, PBE.

Summary:
* ΔE_f: -95 kJ/mol of formula units
* calculated total energy: -39.88 eV per cell
* ρ: 9.01 Mg/m³

a = 3.396 Å, b = 4.864 Å, c = 14.214 Å
α = 90.00°, β = 96.86°, γ = 90.00°
Fractional positions:
1 Ce 0.924 0.750 0.848
2 Ce 0.076 0.250 0.152
3 Tm 0.211 0.750 0.422
4 Tm 0.789 0.250 0.578
5 Ag 0.624 0.750 0.247
6 Ag 0.376 0.250 0.753
7 Ag 0.524 0.750 0.049
8 Ag 0.476 0.250 0.951
9 Ag 0.680 0.250 0.360
10 Ag 0.320 0.750 0.640